Record 1
Cs4RbPu3Br12 PBE-GGA optimized geometry; symmetry = Im-3m, No. 229; crystal system = cubic; uncorrected formation energy = -32.792 eV/f.u.
1.0
-6.024 6.024 6.024
6.024 -6.024 6.024
6.024 6.024 -6.024
Cs Rb Pu Br
4 1 3 12
Cartesian
3.012 3.012 -3.012 Cs
3.012 -3.012 3.012 Cs
-3.012 3.012 3.012 Cs
3.012 3.012 3.012 Cs
0.000 0.000 0.000 Rb
6.024 0.000 0.000 Pu
0.000 6.024 0.000 Pu
0.000 0.000 6.024 Pu
3.173 0.000 0.000 Br
8.874 0.000 0.000 Br
6.024 3.012 0.000 Br
6.024 0.000 3.012 Br
0.000 3.173 0.000 Br
0.000 0.000 3.173 Br
3.012 6.024 0.000 Br
3.012 0.000 6.024 Br
0.000 8.874 0.000 Br
0.000 0.000 8.874 Br
0.000 6.024 3.012 Br
0.000 3.012 6.024 Br

Record 2
LaSeO PBE-GGA optimized geometry; symmetry = C2/m, No. 12; crystal system = monoclinic; uncorrected formation energy = -7.762 eV/f.u.
1.0
2.924 -2.924 0.000
2.924 2.924 0.000
-2.904 0.000 7.917
La Se O
2 2 2
Cartesian
0.013 0.000 2.727 La
2.931 0.000 5.190 La
0.008 0.000 6.722 Se
2.936 0.000 1.195 Se
1.472 1.464 3.958 O
1.472 -1.464 3.958 O

Record 3
KAg4Sn PBE-GGA optimized geometry; energy of formation = 0.10 eV per atom; symmetry = Pmma, No. 51; crystal system = orthorhombic; excess energy over the best structure of this formula in the dataset = 69.1 meV/atom
1.0
7.793 0.000 0.000
0.000 4.684 0.000
0.000 0.000 8.062
K Ag Sn
2 8 2
Cartesian
1.948 0.000 1.259 K
5.845 0.000 6.803 K
0.000 0.000 4.031 Ag
0.477 2.342 6.704 Ag
1.948 2.342 4.026 Ag
3.420 2.342 6.704 Ag
3.897 0.000 4.031 Ag
4.374 2.342 1.358 Ag
5.845 2.342 4.036 Ag
7.316 2.342 1.358 Ag
1.948 0.000 5.979 Sn
5.845 0.000 2.083 Sn

Record 4
MnZnCuAu PBE-GGA optimized geometry; energy of formation = -0.04 eV per atom; symmetry = F-43m, No. 216; crystal system = cubic
1.0
0.000 3.098 3.098
3.098 0.000 3.098
3.098 3.098 0.000
Mn Zn Cu Au
1 1 1 1
Cartesian
0.000 0.000 0.000 Mn
3.098 3.098 3.098 Zn
4.647 4.647 4.647 Cu
1.549 1.549 1.549 Au

In μB/f.u., the spin magnetization values for the records above are, in order, 17.00 0.00 0.00 3.95.
In g cm⁻³, the theoretical density values for the records above are, in order, 4.38 5.74 6.65 10.63.